<P>
The following is a PBE calculation of crystalline NdGeH at its relaxed geometry, from Alexandria.

The structure in POSCAR format:
```
NdGeH
1.0
-1.866 3.768 -0.389
-0.756 0.040 4.012
6.215 0.827 1.162
Nd Ge H
2 2 2
Cartesian
5.560 1.810 1.509 Nd
0.203 4.002 2.555 Nd
3.361 3.254 3.156 Ge
2.403 2.557 0.906 Ge
0.097 1.586 2.560 H
-0.548 3.398 0.343 H
```

Values from the calculation:
- N(E_F): 1.171 states/eV/cell
- Mass density: 6.98 Mg/m³
- Space-group type: Cmcm (63)



<Q>
The following is a PBE calculation of crystalline NdGeH at its relaxed geometry, from Alexandria.

The structure in POSCAR format:
```
NdGeH
1.0
-3.789 -1.421 0.575
2.201 -5.850 0.043
1.044 0.451 7.992
H Ge Nd
4 4 4
Cartesian
-2.554 -1.440 1.403 H
0.710 -3.538 3.195 H
-1.254 -3.282 5.414 H
2.010 -5.380 7.206 H
-0.075 -2.579 0.394 Ge
-0.408 -6.015 4.231 Ge
-0.136 -0.804 4.379 Ge
-0.469 -4.241 8.215 Ge
-1.667 -3.141 3.042 Nd
1.172 -5.422 1.582 Nd
-1.716 -1.397 7.027 Nd
1.123 -3.679 5.567 Nd
```

Values from the calculation:
- N(E_F): 1.673 states/eV/cell
- Mass density: 7.02 Mg/m³
- Space-group type: Pnma (62)



<R>
The following is a PBE calculation of crystalline NdGeH at its relaxed geometry, from Alexandria.

The structure in POSCAR format:
```
NdGeH
1.0
-1.146 2.576 -3.889
-3.339 -1.734 -0.165
0.377 3.174 1.992
H Ge Nd
1 1 1
Cartesian
-1.052 1.965 0.628 H
-2.865 1.620 -2.040 Ge
-0.192 0.431 -0.650 Nd
```

Values from the calculation:
- N(E_F): 0.810 states/eV/cell
- Mass density: 6.13 Mg/m³
- Space-group type: P3m1 (156)



The least stable of them is <R>.